1.
First-principles (PBE) data for an optimized crystal structure of Tb2Y4Th5, as listed in Alexandria.

abc: 8.820 3.481 11.700
angles: 90.00 94.32 90.00
Sites, in units of the cell vectors:
Tb: 0.056 0.000 0.136
Tb: 0.944 0.000 0.864
Y: 0.159 0.500 0.401
Y: 0.297 0.500 0.946
Y: 0.703 0.500 0.054
Y: 0.841 0.500 0.599
Th: 0.204 0.000 0.675
Th: 0.425 0.000 0.212
Th: 0.500 0.000 0.500
Th: 0.575 0.000 0.788
Th: 0.796 0.000 0.325

Calculated values
total magnetic moment = 0.000 μB/atom
V = 32.565 Å³/atom
space-group type = No. 10
DFT formation energy = 2.98 kcal/mol of atoms

2.
First-principles (PBE) data for an optimized crystal structure of ZnHgIr2, as listed in Alexandria.

abc: 2.889 4.627 4.803
angles: 90.00 90.00 90.00
Sites, in units of the cell vectors:
Zn: 0.000 0.000 0.000
Hg: 0.500 0.000 0.500
Ir: 0.000 0.500 0.500
Ir: 0.500 0.500 0.000

Calculated values
total magnetic moment = 0.000 μB/atom
V = 16.052 Å³/atom
space-group type = No. 47
DFT formation energy = 6.80 kcal/mol of atoms

3.
First-principles (PBE) data for an optimized crystal structure of Zr3AgS, as listed in Alexandria.

abc: 4.815 4.815 4.815
angles: 90.00 90.00 90.00
Sites, in units of the cell vectors:
Zr: 0.000 0.000 0.500
Zr: 0.000 0.500 0.000
Zr: 0.500 0.000 0.000
Ag: 0.500 0.500 0.500
S: 0.000 0.000 0.000

Calculated values
total magnetic moment = 0.000 μB/atom
V = 22.320 Å³/atom
space-group type = No. 221
ΔE to the lowest computed polymorph = 0.00 kcal/mol of atoms

4.
First-principles (PBE) data for an optimized crystal structure of Sm2Pt2Au, as listed in Alexandria.

abc: 7.751 7.751 3.771
angles: 90.00 90.00 90.00
Sites, in units of the cell vectors:
Sm: 0.171 0.329 0.000
Sm: 0.329 0.829 0.000
Sm: 0.671 0.171 0.000
Sm: 0.829 0.671 0.000
Pt: 0.130 0.630 0.500
Pt: 0.370 0.130 0.500
Pt: 0.630 0.870 0.500
Pt: 0.870 0.370 0.500
Au: 0.000 0.000 0.500
Au: 0.500 0.500 0.500

Calculated values
total magnetic moment = 0.000 μB/atom
V = 22.656 Å³/atom
space-group type = No. 127
DFT formation energy = -24.18 kcal/mol of atoms